Below is crystalline Li3Pm2BeCu12 at its relaxed geometry, with properties calculated at the GGA-PBE level.

```
data_Li3Pm2BeCu12
_symmetry_space_group_name_H-M 'R -3 m'
_symmetry_Int_Tables_number 166
_symmetry_space_group_name_Hall '-R 3 2"'
_cell_length_a 6.0747
_cell_length_b 6.0747
_cell_length_c 26.3597
_cell_angle_alpha 90.00
_cell_angle_beta 90.00
_cell_angle_gamma 120.00
loop_
_atom_site_label
_atom_site_fract_x
_atom_site_fract_y
_atom_site_fract_z
Li1 0.0000 0.5000 0.0000
Pm1 0.0000 0.0000 0.1497
Be1 0.0000 0.0000 0.5000
Cu1 0.0550 0.5275 0.1000
Cu2 0.0694 0.5347 0.6167
```

Output
electronic total energy	-3.652	eV per atom
size of the total moment	0.0	μB/cell
calculated density	6.4	Mg/m³
V	15.6	Å³/atom
energy of formation	0.13	eV/atom